DFT (PBE-GGA) results for an optimized crystal structure of NdSnO.

Results
- Formation energy from raw total energies: -1942 meV/atom
- Total energy: -0.479 Ry/atom
- SG: I4/mmm, No. 139

Unit cell a=11.415 b=11.415 c=11.415 alpha=162.87 beta=162.87 gamma=24.32
Sites, in units of the cell vectors:
Nd (0.183, 0.183, 0.000)
Nd (0.817, 0.817, 0.000)
Sn (0.435, 0.435, 0.000)
Sn (0.565, 0.565, 0.000)
O (0.291, 0.291, 0.000)
O (0.709, 0.709, 0.000)